# Rb3Y2HfTe6, optimized geometry, DFT PBE
# Magnetic moment, μB per formula unit: 0.00
# ΔE_f (raw), eV/atom: -1.199
# Mass density, kg/m³: 5281
# Raw total energy, eV per atom: -4.919
# Space group: No. 12
data_Rb3Y2HfTe6
_chemical_formula_sum 'Rb3 Y2 Hf1 Te6'
_cell_length_a 7.6355
_cell_length_b 7.6355
_cell_length_c 8.9553
_cell_angle_alpha 98.19
_cell_angle_beta 98.19
_cell_angle_gamma 120.01
_space_group_name_H-M_alt 'P 1'
_space_group_IT_number 1
loop_
_space_group_symop_operation_xyz
'x,y,z'
loop_
_atom_site_label
_atom_site_type_symbol
_atom_site_fract_x
_atom_site_fract_y
_atom_site_fract_z
_atom_site_occupancy
Rb1 Rb 0.0000 0.0000 0.0000 1
Rb2 Rb 0.3281 0.6719 0.0000 1
Rb3 Rb 0.6719 0.3281 0.0000 1
Y1 Y 0.1659 0.8341 0.5000 1
Y2 Y 0.8341 0.1659 0.5000 1
Hf1 Hf 0.5000 0.5000 0.5000 1
Te1 Te 0.1164 0.4345 0.3029 1
Te2 Te 0.2491 0.2491 0.6991 1
Te3 Te 0.4345 0.1164 0.3029 1
Te4 Te 0.5655 0.8836 0.6971 1
Te5 Te 0.7509 0.7509 0.3009 1
Te6 Te 0.8836 0.5655 0.6971 1